Crystalline NiBrCl at its relaxed geometry, computed with PBE.

Output
- calculated density (g/cm3) = 4.61
- E_form (uncorrected) (meV/atom) = 102
- DFT total energy (eV/atom) = -2.998
- energy above the most stable polymorph in this dataset (eV/f.u.) = 1.686
- spin magnetization (μB/f.u.) = 2.0

Cell lengths 6.305, 6.305, 6.305 Å; angles 90.00, 90.00, 90.00 degrees
Space group F-43m (No. 216)
Symmetry-distinct sites (fractional):
Ni 0.000 0.000 0.000
Br 0.250 0.250 0.250
Cl 0.250 0.250 0.750